HfTiNbZn | PBE | optimized geometry

a = 4.653 Å, b = 4.653 Å, c = 4.653 Å
α = 60.00°, β = 60.00°, γ = 60.00°
Sites, in units of the cell vectors:
Hf (0.000, 0.000, 0.000)
Ti (0.500, 0.500, 0.500)
Nb (0.250, 0.250, 0.250)
Zn (0.750, 0.750, 0.750)

## Properties
* polymorph energy (0 for the lowest one): 75 meV per atom
* formation energy from the elements: -0.0143 eV/atom
* calculated volume: 71 Å³/cell
* density: 8.97 Mg/m³

=====

HfTiNbZn | PBE | optimized geometry

a = 3.363 Å, b = 3.363 Å, c = 6.359 Å
α = 90.00°, β = 90.00°, γ = 90.00°
Sites, in units of the cell vectors:
Hf (0.000, 0.000, 0.000)
Ti (0.000, 0.000, 0.495)
Nb (0.500, 0.500, 0.264)
Zn (0.500, 0.500, 0.732)

## Properties
* polymorph energy (0 for the lowest one): 0 meV per atom
* formation energy from the elements: -0.0888 eV/atom
* calculated volume: 72 Å³/cell
* density: 8.88 Mg/m³